(1)
# PrSnPtRh

A geometry-optimized PrSnPtRh structure (PBE-GGA, Alexandria via LeMat-Bulk).

a b c (Å): 4.879 4.879 4.879
angles (deg): 60.00 60.00 60.00
Element x y z (fractional)
Sn 0.000 0.000 0.000
Pt 0.750 0.750 0.750
Rh 0.250 0.250 0.250
Pr 0.500 0.500 0.500

Properties
The value obtained for the size of the total moment is 0.00 Bohr magnetons per cell. The value obtained for the formation enthalpy at 0 K is -2.63 eV/f.u. The symmetry is F-43m. The value obtained for the density of states at the Fermi level is 2.98 states/eV per cell.


(2)
# CoTc2W

A geometry-optimized CoTc2W structure (PBE-GGA, Alexandria via LeMat-Bulk).

a b c (Å): 4.667 4.667 4.667
angles (deg): 131.48 131.45 71.08
Element x y z (fractional)
W 0.500 0.500 0.000
Tc 0.000 0.000 0.000
Tc 0.750 0.250 0.500
Co 0.250 0.750 0.500

Properties
The value obtained for the size of the total moment is 0.00 Bohr magnetons per cell. The value obtained for the formation enthalpy at 0 K is 0.24 eV/f.u. The symmetry is I-4m2. The value obtained for the density of states at the Fermi level is 4.18 states/eV per cell. The energy above the most stable polymorph in this dataset comes out at 27 meV/atom.